Material: Ni3Ir4W2
Method: DFT, PBE
State: relaxed

Calculated values
For the total DFT energy (no corrections), the calculation gives -160.99 eV per cell. The calculation puts the density of states at the Fermi level at 19.3 states/eV per cell. For the volume, the calculation gives 123.4 Å³/f.u. The spin magnetization comes out at 0.000 μB/atom.

Cell: 8.4889 3.8177 7.9742 Å, 90.00 107.27 90.00°
Space group C2/m (No. 12)
One atom of each set of equivalent atoms:
Ni: 0.0000 0.0000 0.0000 (multiplicity 2)
Ni: 0.1692 0.5000 0.5527 (multiplicity 4)
Ir: 0.0048 0.0000 0.3385 (multiplicity 4)
Ir: 0.1618 0.5000 0.8874 (multiplicity 4)
W: 0.1693 0.5000 0.2249 (multiplicity 4)